{"formula": "KCuNiH2", "functional": "GGA-PBEsol", "state": "optimized geometry", "lattice": [[3.644, 0.000, 0.000], [0.000, 3.644, 0.000], [0.000, 0.000, 5.332]], "species": ["Ni", "K", "Cu", "H", "H"], "fractional_positions": [[0.000, 0.000, 0.000], [0.000, 0.000, 0.500], [0.500, 0.500, 0.500], [0.000, 0.500, 0.000], [0.500, 0.000, 0.000]], "final_energy_ev_per_cell": -13.03, "space_group": "P4/mmm", "total_magnetization_mub_per_fu": 0.0}

{"formula": "KRbCuH12Se2O14", "functional": "GGA-PBEsol", "state": "optimized geometry", "lattice": [[-1.209, -5.796, -2.378], [6.147, 3.356, -5.790], [9.027, -4.697, 6.861]], "species": ["K", "K", "Rb", "Rb", "Cu", "Cu", "H", "H", "H", "H", "H", "H", "H", "H", "H", "H", "H", "H", "H", "H", "H", "H", "H", "H", "H", "H", "H", "H", "H", "H", "Se", "Se", "Se", "Se", "O", "O", "O", "O", "O", "O", "O", "O", "O", "O", "O", "O", "O", "O", "O", "O", "O", "O", "O", "O", "O", "O", "O", "O", "O", "O", "O", "O"], "fractional_positions": [[0.344, 0.398, 0.839], [0.656, 0.602, 0.339], [0.650, 0.103, 0.161], [0.350, 0.897, 0.661], [0.001, 0.250, 0.500], [0.999, 0.750, 0.000], [0.336, 0.468, 0.593], [0.664, 0.532, 0.093], [0.670, 0.025, 0.407], [0.330, 0.975, 0.907], [0.005, 0.123, 0.686], [0.995, 0.877, 0.186], [0.000, 0.386, 0.316], [0.000, 0.614, 0.816], [0.922, 0.990, 0.597], [0.078, 0.010, 0.097], [0.082, 0.513, 0.409], [0.918, 0.487, 0.909], [0.120, 0.512, 0.635], [0.880, 0.488, 0.135], [0.886, 0.979, 0.369], [0.114, 0.021, 0.869], [0.312, 0.275, 0.363], [0.688, 0.725, 0.863], [0.691, 0.233, 0.637], [0.309, 0.767, 0.137], [0.306, 0.134, 0.442], [0.694, 0.866, 0.942], [0.694, 0.366, 0.551], [0.306, 0.634, 0.051], [0.741, 0.667, 0.640], [0.259, 0.333, 0.140], [0.261, 0.823, 0.361], [0.739, 0.177, 0.861], [0.194, 0.427, 0.628], [0.806, 0.573, 0.128], [0.816, 0.065, 0.377], [0.184, 0.935, 0.877], [0.765, 0.828, 0.573], [0.235, 0.172, 0.073], [0.241, 0.671, 0.439], [0.759, 0.329, 0.939], [0.276, 0.238, 0.440], [0.724, 0.762, 0.940], [0.725, 0.262, 0.558], [0.275, 0.738, 0.058], [0.028, 0.090, 0.609], [0.972, 0.910, 0.109], [0.974, 0.414, 0.393], [0.026, 0.586, 0.893], [0.980, 0.644, 0.683], [0.020, 0.356, 0.183], [0.018, 0.840, 0.318], [0.982, 0.160, 0.818], [0.624, 0.527, 0.556], [0.376, 0.473, 0.056], [0.381, 0.974, 0.434], [0.619, 0.026, 0.934], [0.581, 0.665, 0.748], [0.419, 0.335, 0.248], [0.416, 0.811, 0.254], [0.584, 0.189, 0.754]], "final_energy_ev_per_cell": -320.11, "space_group": "P2_1", "total_magnetization_mub_per_fu": 1.0}

{"formula": "K2CuH12S2O14", "functional": "GGA-PBEsol", "state": "optimized geometry", "lattice": [[-3.579, -4.574, 1.867], [5.031, 1.880, 7.227], [-8.192, 7.901, 3.648]], "species": ["K", "K", "K", "K", "Cu", "Cu", "H", "H", "H", "H", "H", "H", "H", "H", "H", "H", "H", "H", "H", "H", "H", "H", "H", "H", "H", "H", "H", "H", "H", "H", "S", "S", "S", "S", "O", "O", "O", "O", "O", "O", "O", "O", "O", "O", "O", "O", "O", "O", "O", "O", "O", "O", "O", "O", "O", "O", "O", "O", "O", "O", "O", "O"], "fractional_positions": [[0.661, 0.380, 0.155], [0.661, 0.880, 0.345], [0.339, 0.120, 0.655], [0.339, 0.620, 0.845], [0.000, 0.000, 0.000], [0.000, 0.500, 0.500], [0.331, 0.397, 0.442], [0.085, 0.798, 0.395], [0.994, 0.328, 0.699], [0.669, 0.603, 0.558], [0.320, 0.036, 0.143], [0.317, 0.700, 0.586], [0.915, 0.702, 0.895], [0.317, 0.200, 0.914], [0.922, 0.263, 0.377], [0.331, 0.897, 0.058], [0.078, 0.237, 0.877], [0.922, 0.763, 0.123], [0.320, 0.536, 0.357], [0.006, 0.172, 0.199], [0.078, 0.737, 0.623], [0.680, 0.464, 0.643], [0.006, 0.672, 0.301], [0.680, 0.964, 0.857], [0.085, 0.298, 0.105], [0.669, 0.103, 0.942], [0.915, 0.202, 0.605], [0.683, 0.300, 0.414], [0.994, 0.828, 0.801], [0.683, 0.800, 0.086], [0.284, 0.606, 0.135], [0.716, 0.394, 0.865], [0.716, 0.894, 0.635], [0.284, 0.106, 0.365], [0.055, 0.126, 0.337], [0.267, 0.463, 0.072], [0.945, 0.374, 0.837], [0.290, 0.499, 0.436], [0.419, 0.107, 0.262], [0.596, 0.263, 0.938], [0.710, 0.501, 0.564], [0.596, 0.763, 0.562], [0.159, 0.153, 0.887], [0.290, 0.999, 0.064], [0.841, 0.347, 0.387], [0.404, 0.237, 0.438], [0.159, 0.653, 0.613], [0.581, 0.393, 0.762], [0.710, 0.001, 0.936], [0.733, 0.037, 0.572], [0.033, 0.297, 0.623], [0.581, 0.893, 0.738], [0.267, 0.963, 0.428], [0.967, 0.703, 0.377], [0.841, 0.847, 0.113], [0.945, 0.874, 0.663], [0.419, 0.607, 0.238], [0.967, 0.203, 0.123], [0.404, 0.737, 0.062], [0.033, 0.797, 0.877], [0.055, 0.626, 0.163], [0.733, 0.537, 0.928]], "final_energy_ev_per_cell": -336.11, "space_group": "P2_1/c", "total_magnetization_mub_per_fu": 1.0}

Copy entry 3 word for word.
{"formula": "K2CuH12S2O14", "functional": "GGA-PBEsol", "state": "optimized geometry", "lattice": [[-3.579, -4.574, 1.867], [5.031, 1.880, 7.227], [-8.192, 7.901, 3.648]], "species": ["K", "K", "K", "K", "Cu", "Cu", "H", "H", "H", "H", "H", "H", "H", "H", "H", "H", "H", "H", "H", "H", "H", "H", "H", "H", "H", "H", "H", "H", "H", "H", "S", "S", "S", "S", "O", "O", "O", "O", "O", "O", "O", "O", "O", "O", "O", "O", "O", "O", "O", "O", "O", "O", "O", "O", "O", "O", "O", "O", "O", "O", "O", "O"], "fractional_positions": [[0.661, 0.380, 0.155], [0.661, 0.880, 0.345], [0.339, 0.120, 0.655], [0.339, 0.620, 0.845], [0.000, 0.000, 0.000], [0.000, 0.500, 0.500], [0.331, 0.397, 0.442], [0.085, 0.798, 0.395], [0.994, 0.328, 0.699], [0.669, 0.603, 0.558], [0.320, 0.036, 0.143], [0.317, 0.700, 0.586], [0.915, 0.702, 0.895], [0.317, 0.200, 0.914], [0.922, 0.263, 0.377], [0.331, 0.897, 0.058], [0.078, 0.237, 0.877], [0.922, 0.763, 0.123], [0.320, 0.536, 0.357], [0.006, 0.172, 0.199], [0.078, 0.737, 0.623], [0.680, 0.464, 0.643], [0.006, 0.672, 0.301], [0.680, 0.964, 0.857], [0.085, 0.298, 0.105], [0.669, 0.103, 0.942], [0.915, 0.202, 0.605], [0.683, 0.300, 0.414], [0.994, 0.828, 0.801], [0.683, 0.800, 0.086], [0.284, 0.606, 0.135], [0.716, 0.394, 0.865], [0.716, 0.894, 0.635], [0.284, 0.106, 0.365], [0.055, 0.126, 0.337], [0.267, 0.463, 0.072], [0.945, 0.374, 0.837], [0.290, 0.499, 0.436], [0.419, 0.107, 0.262], [0.596, 0.263, 0.938], [0.710, 0.501, 0.564], [0.596, 0.763, 0.562], [0.159, 0.153, 0.887], [0.290, 0.999, 0.064], [0.841, 0.347, 0.387], [0.404, 0.237, 0.438], [0.159, 0.653, 0.613], [0.581, 0.393, 0.762], [0.710, 0.001, 0.936], [0.733, 0.037, 0.572], [0.033, 0.297, 0.623], [0.581, 0.893, 0.738], [0.267, 0.963, 0.428], [0.967, 0.703, 0.377], [0.841, 0.847, 0.113], [0.945, 0.874, 0.663], [0.419, 0.607, 0.238], [0.967, 0.203, 0.123], [0.404, 0.737, 0.062], [0.033, 0.797, 0.877], [0.055, 0.626, 0.163], [0.733, 0.537, 0.928]], "final_energy_ev_per_cell": -336.11, "space_group": "P2_1/c", "total_magnetization_mub_per_fu": 1.0}